Entry 1:
The following is a DFT calculation (GGA-PBE) of a geometry-optimized Fe3CuPt4 structure.

- Density: 14.73 Mg/m³
- Space-group type: Pmmm (47)
- Volume: 114.01 Å³/f.u.
- Size of the total moment: 10.743 μB per formula unit
- E_tot: -6.84 eV/atom
- DFT formation energy: -1.1 eV/f.u.

Unit cell a=2.7828 b=4.5286 c=9.0468 alpha=90.00 beta=90.00 gamma=90.00
Element x y z (fractional)
1 Fe 0.0000 0.0000 0.0000
2 Fe 0.0000 0.5000 0.2529
3 Fe 0.0000 0.5000 0.7471
4 Cu 0.0000 0.0000 0.5000
5 Pt 0.5000 0.0000 0.2468
6 Pt 0.5000 0.0000 0.7532
7 Pt 0.5000 0.5000 0.0000
8 Pt 0.5000 0.5000 0.5000

***

Entry 2:
The following is a DFT calculation (GGA-PBE) of a geometry-optimized MnAs2SeBr structure.

- Excess energy over the best structure of this formula in the dataset: 0.41 eV per formula unit
- Density: 5.58 Mg/m³
- Space-group type: P4/mmm (123)
- Volume: 108.23 Å³/f.u.
- Size of the total moment: 1.972 μB per formula unit
- E_tot: -4.32 eV/atom

Unit cell a=4.8191 b=4.8191 c=4.6605 alpha=90.00 beta=90.00 gamma=90.00
Element x y z (fractional)
1 Mn 0.0000 0.0000 0.0000
2 As 0.0000 0.5000 0.0000
3 As 0.5000 0.0000 0.0000
4 Se 0.5000 0.5000 0.5000
5 Br 0.0000 0.0000 0.5000

***

Entry 3:
The following is a DFT calculation (GGA-PBE) of a geometry-optimized Sr2Li2ReO6 structure.

- Density: 4.80 Mg/m³
- Space-group type: C2/m (12)
- Volume: 162.90 Å³/f.u.
- Size of the total moment: 1.006 μB per formula unit
- E_tot: -6.63 eV/atom

Unit cell a=6.0731 b=6.0731 c=5.2286 alpha=96.50 beta=96.50 gamma=119.87
Element x y z (fractional)
1 Sr 0.1626 0.8374 0.0000
2 Sr 0.8374 0.1626 0.0000
3 Li 0.3891 0.6109 0.5000
4 Li 0.6109 0.3891 0.5000
5 Re 0.5000 0.5000 0.0000
6 O 0.1959 0.4668 0.7857
7 O 0.2841 0.2841 0.2311
8 O 0.4668 0.1959 0.7857
9 O 0.5332 0.8041 0.2143
10 O 0.7159 0.7159 0.7689
11 O 0.8041 0.5332 0.2143

***

Question: Look up the density of the third one.
Answer: 4.80 Mg/m³